CoSbAu2: relaxed, GGA-PBE.

Values from the calculation:
- E (eV/atom) = -4.213
- M_tot (μB/atom) = 0.406
- D(E_F) (states/eV per cell) = 3.1
- formation energy without anion corrections (meV/atom) = 233.0
- crystal system = tetragonal

Cell and atoms, written as CIF:
```
data_CoSbAu2
_chemical_formula_sum 'Co1 Sb1 Au2'
_space_group_name_H-M_alt 'P 4/m m m'
_space_group_IT_number 123
_space_group_name_Hall '-P 4 2'
_cell_length_a 4.0241
_cell_length_b 4.0241
_cell_length_c 4.3906
_cell_angle_alpha 90.00
_cell_angle_beta 90.00
_cell_angle_gamma 90.00
loop_
_atom_site_label
_atom_site_type_symbol
_atom_site_fract_x
_atom_site_fract_y
_atom_site_fract_z
Co1 Co 0.0000 0.0000 0.0000
Sb1 Sb 0.5000 0.5000 0.0000
Au1 Au 0.0000 0.5000 0.5000
```